Material: Hf4CoCu
Method: DFT, PBE
State: optimized geometry

```
Hf4CoCu
1.0
3.181 0.000 0.000
0.000 3.181 0.000
0.000 0.000 10.834
Hf Co Cu
4 1 1
Cartesian
0.000 0.000 1.569
0.000 0.000 9.265
1.590 1.590 3.656
1.590 1.590 7.177
1.590 1.590 0.000
0.000 0.000 5.417
```

symmetry: P4/mmm, No. 123
ΔE to the lowest computed polymorph: 0 meV per atom
crystal system: tetragonal
VASP energy: -8.710 eV/atom
energy relative to the elements: -0.21 eV/atom
spin magnetization: 0.000 μB per atom


Material: Hf3CoCu
Method: DFT, PBE
State: optimized geometry

```
Hf3CoCu
1.0
3.294 0.000 0.000
1.642 7.092 0.000
0.015 0.113 7.723
Hf Co Cu
6 2 2
Cartesian
0.825 2.825 1.652
0.833 0.223 6.269
2.474 4.975 3.402
2.478 2.230 4.321
4.118 6.982 1.454
4.127 4.380 6.071
0.831 0.687 3.174
4.121 6.519 4.548
2.465 4.871 0.496
2.487 2.334 7.227
```

symmetry: P-1, No. 2
ΔE to the lowest computed polymorph: 0 meV per atom
crystal system: triclinic
VASP energy: -8.376 eV/atom
energy relative to the elements: -0.16 eV/atom
spin magnetization: 0.000 μB per atom


Material: Hf6CoCu
Method: DFT, PBE
State: optimized geometry

```
Hf6CoCu
1.0
-2.247 2.247 7.612
2.247 -2.247 7.612
2.247 2.247 -7.612
Hf Co Cu
6 1 1
Cartesian
2.247 0.000 1.641
0.000 0.000 3.811
2.247 0.000 5.972
0.000 2.247 1.641
0.000 0.000 11.414
0.000 2.247 5.972
0.000 0.000 0.000
0.000 0.000 7.612
```

symmetry: I4/mmm, No. 139
ΔE to the lowest computed polymorph: 0 meV per atom
crystal system: tetragonal
VASP energy: -8.991 eV/atom
energy relative to the elements: -0.13 eV/atom
spin magnetization: 0.078 μB per atom


Material: HfCo2Cu2
Method: DFT, PBE
State: optimized geometry

```
HfCo2Cu2
1.0
-1.773 1.773 5.486
1.773 -1.773 5.486
1.773 1.773 -5.486
Hf Co Cu
1 2 2
Cartesian
0.000 0.000 0.000
0.000 0.000 4.398
0.000 0.000 6.574
1.773 0.000 2.743
0.000 1.773 2.743
```

symmetry: I4/mmm, No. 139
ΔE to the lowest computed polymorph: 0 meV per atom
crystal system: tetragonal
VASP energy: -6.449 eV/atom
energy relative to the elements: 0.02 eV/atom
spin magnetization: 0.246 μB per atom


Material: Hf6Co2Cu
Method: DFT, PBE
State: optimized geometry

```
Hf6Co2Cu
1.0
5.675 0.000 0.000
0.000 6.765 0.000
-5.457 0.000 8.843
Hf Co Cu
12 4 2
Cartesian
-0.986 0.411 2.108
-3.715 2.972 6.529
0.792 4.817 0.630
-1.936 5.330 5.052
1.883 0.967 0.540
-0.845 2.415 4.961
1.063 4.350 3.881
-1.665 5.797 8.303
2.154 1.435 3.791
-0.574 1.947 8.212
3.933 3.793 2.314
1.204 6.354 6.735
-2.218 0.749 6.374
0.510 2.633 1.953
-0.292 4.131 6.890
2.437 6.016 2.468
0.109 0.000 4.421
2.837 3.382 0.000
```

symmetry: P2_1/c, No. 14
ΔE to the lowest computed polymorph: 120 meV per atom
crystal system: monoclinic
VASP energy: -8.752 eV/atom
energy relative to the elements: -0.08 eV/atom
spin magnetization: 0.000 μB per atom


Material: HfCo2Cu
Method: DFT, PBE
State: optimized geometry

```
HfCo2Cu
1.0
3.124 0.000 0.000
0.000 3.124 0.000
0.000 0.000 5.506
Hf Co Cu
1 2 1
Cartesian
0.000 0.000 0.000
1.562 1.562 1.506
1.562 1.562 4.000
0.000 0.000 2.753
```

symmetry: P4/mmm, No. 123
crystal system: tetragonal
VASP energy: -7.177 eV/atom
energy relative to the elements: -0.11 eV/atom
spin magnetization: 0.265 μB per atom


Material: Hf4CoCu
Method: DFT, PBE
State: optimized geometry

```
Hf4CoCu
1.0
-4.168 4.168 3.766
4.168 -4.168 3.766
4.168 4.168 -3.766
Hf Co Cu
8 2 2
Cartesian
0.000 1.642 0.000
2.416 0.000 1.700
5.920 0.000 1.700
4.168 2.416 -0.183
0.000 1.752 3.583
-1.642 4.168 1.883
1.642 4.168 1.883
0.000 6.693 0.000
0.000 0.000 1.819
0.000 4.168 3.702
4.168 0.000 3.637
0.000 0.000 5.520
```

symmetry: I4_1md, No. 109
ΔE to the lowest computed polymorph: 522 meV per atom
crystal system: tetragonal
VASP energy: -8.188 eV/atom
energy relative to the elements: 0.31 eV/atom
spin magnetization: 0.000 μB per atom


Material: Hf3Co2Cu
Method: DFT, PBE
State: optimized geometry

```
Hf3Co2Cu
1.0
3.178 0.000 0.000
0.000 3.178 0.000
0.000 0.000 9.550
Hf Co Cu
3 2 1
Cartesian
0.000 0.000 0.000
0.000 0.000 3.092
0.000 0.000 6.458
1.589 1.589 1.554
1.589 1.589 7.996
1.589 1.589 4.775
```

symmetry: P4/mmm, No. 123
ΔE to the lowest computed polymorph: 3 meV per atom
crystal system: tetragonal
VASP energy: -8.334 eV/atom
energy relative to the elements: -0.31 eV/atom
spin magnetization: 0.085 μB per atom


Material: Hf6Co5Cu
Method: DFT, PBE
State: optimized geometry

```
Hf6Co5Cu
1.0
7.056 -3.198 0.000
7.056 3.198 0.000
-1.401 0.000 4.231
Hf Co Cu
6 5 1
Cartesian
4.216 1.609 1.403
7.056 1.624 0.000
8.494 1.609 2.828
4.216 -1.609 1.403
7.056 -1.624 0.000
8.494 -1.609 2.828
-0.701 0.000 2.116
2.127 0.000 0.710
3.527 0.000 3.522
9.184 0.000 0.709
10.583 0.000 3.522
6.355 0.000 2.116
```

symmetry: C2/m, No. 12
crystal system: monoclinic
VASP energy: -8.627 eV/atom
energy relative to the elements: -0.35 eV/atom
spin magnetization: 0.230 μB per atom


Material: Hf4Co2Cu
Method: DFT, PBE
State: optimized geometry

```
Hf4Co2Cu
1.0
2.092 1.208 8.552
-2.092 1.208 8.552
0.000 -2.415 8.552
Hf Co Cu
4 2 1
Cartesian
0.000 0.000 2.971
0.000 0.000 7.596
0.000 0.000 18.059
0.000 0.000 22.685
0.000 0.000 10.348
0.000 0.000 15.308
0.000 0.000 12.828
```

symmetry: R-3m, No. 166
crystal system: trigonal
VASP energy: -8.399 eV/atom
energy relative to the elements: -0.10 eV/atom
spin magnetization: 0.000 μB per atom


Material: Hf2CoCu
Method: DFT, PBE
State: optimized geometry

```
Hf2CoCu
1.0
0.000 3.191 3.191
3.191 0.000 3.191
3.191 3.191 0.000
Hf Co Cu
2 1 1
Cartesian
1.595 1.595 1.595
4.786 4.786 4.786
0.000 0.000 0.000
3.191 3.191 3.191
```

symmetry: Fm-3m, No. 225
crystal system: cubic
VASP energy: -8.025 eV/atom
energy relative to the elements: -0.25 eV/atom
spin magnetization: 0.002 μB per atom


Material: Hf2CoCu
Method: DFT, PBE
State: optimized geometry

```
Hf2CoCu
1.0
-3.528 3.528 2.787
3.528 -3.528 2.787
3.528 3.528 -2.787
Hf Co Cu
4 2 2
Cartesian
5.292 1.564 -0.697
1.564 1.764 0.697
-1.764 1.964 2.091
1.964 1.764 3.484
0.000 0.000 0.000
0.000 3.528 1.394
3.528 0.000 1.394
0.000 0.000 2.787
```

symmetry: I-42d, No. 122
crystal system: tetragonal
VASP energy: -7.564 eV/atom
energy relative to the elements: 0.21 eV/atom
spin magnetization: 0.000 μB per atom


Material: Hf3Co2Cu
Method: DFT, PBE
State: optimized geometry

```
Hf3Co2Cu
1.0
2.255 -6.729 0.000
2.255 6.729 0.000
0.000 0.000 3.174
Hf Co Cu
3 2 1
Cartesian
0.000 0.000 0.000
2.255 2.286 0.000
2.255 -2.286 0.000
2.255 4.467 1.587
2.255 -4.467 1.587
2.255 0.000 1.587
```

symmetry: Cmmm, No. 65
ΔE to the lowest computed polymorph: 0 meV per atom
crystal system: orthorhombic
VASP energy: -8.336 eV/atom
energy relative to the elements: -0.31 eV/atom
spin magnetization: 0.000 μB per atom


Material: Hf12Co6Cu
Method: DFT, PBE
State: optimized geometry

```
Hf12Co6Cu
1.0
5.702 3.292 3.411
-5.702 3.292 3.411
0.000 -6.584 3.411
Hf Co Cu
12 6 1
Cartesian
-3.437 -3.655 5.686
-4.883 1.149 4.546
-1.409 -1.823 4.015
1.447 -4.803 4.546
-2.283 0.309 6.217
-0.874 2.131 4.015
0.874 -2.131 6.217
2.283 -0.309 4.015
-1.447 4.803 5.686
1.409 1.823 6.217
4.883 -1.149 5.686
3.437 3.655 4.546
-2.707 0.459 3.584
0.956 -2.574 3.584
-1.751 -2.114 6.648
1.751 2.114 3.584
-0.956 2.574 6.648
2.707 -0.459 6.648
0.000 0.000 0.000
```

symmetry: R-3, No. 148
crystal system: trigonal
VASP energy: -8.741 eV/atom
energy relative to the elements: 0.00 eV/atom
spin magnetization: 0.000 μB per atom


Material: Hf3CoCu
Method: DFT, PBE
State: optimized geometry

```
Hf3CoCu
1.0
4.483 -2.786 0.000
4.483 2.786 0.000
-3.994 0.000 7.239
Hf Co Cu
6 2 2
Cartesian
-0.812 0.000 1.899
-0.106 0.000 5.041
2.253 0.000 0.854
2.720 0.000 6.385
5.078 0.000 2.198
5.784 0.000 5.341
4.483 1.328 0.000
4.483 -1.328 0.000
2.486 1.157 3.620
2.486 -1.157 3.620
```

symmetry: C2/m, No. 12
ΔE to the lowest computed polymorph: 3 meV per atom
crystal system: monoclinic
VASP energy: -8.372 eV/atom
energy relative to the elements: -0.16 eV/atom
spin magnetization: 0.000 μB per atom


Material: Hf7Co2Cu2
Method: DFT, PBE
State: optimized geometry

```
Hf7Co2Cu2
1.0
3.450 -4.934 0.000
3.450 4.934 0.000
0.000 0.000 6.362
Hf Co Cu
7 2 2
Cartesian
0.000 0.000 0.000
1.725 2.467 1.663
1.725 2.467 4.699
1.725 -2.467 1.663
1.725 -2.467 4.699
3.450 0.000 1.616
3.450 0.000 4.745
3.450 2.029 0.000
3.450 -2.029 0.000
1.188 0.000 3.181
5.712 0.000 3.181
```

symmetry: Cmmm, No. 65
crystal system: orthorhombic
VASP energy: -8.286 eV/atom
energy relative to the elements: 0.09 eV/atom
spin magnetization: 0.000 μB per atom


Material: HfCoCuHg2
Method: DFT, PBE
State: optimized geometry

```
HfCoCuHg2
1.0
4.794 0.000 0.000
0.000 4.794 0.000
0.000 0.000 4.891
Hf Co Cu Hg
1 1 1 2
Cartesian
0.000 0.000 0.000
2.397 2.397 0.000
0.000 0.000 2.445
0.000 2.397 2.445
2.397 0.000 2.445
```

symmetry: P4/mmm, No. 123
crystal system: tetragonal
VASP energy: -3.413 eV/atom
energy relative to the elements: 0.94 eV/atom
spin magnetization: 0.280 μB per atom


Material: HoHfCoCu
Method: DFT, PBE
State: optimized geometry

```
HoHfCoCu
1.0
0.000 3.282 3.282
3.282 0.000 3.282
3.282 3.282 0.000
Ho Hf Co Cu
1 1 1 1
Cartesian
0.000 0.000 0.000
3.282 3.282 3.282
1.641 1.641 1.641
4.923 4.923 4.923
```

symmetry: F-43m, No. 216
crystal system: cubic
VASP energy: -6.615 eV/atom
energy relative to the elements: -0.18 eV/atom
spin magnetization: 0.000 μB per atom


Material: HfMg2CoCu
Method: DFT, PBE
State: optimized geometry

```
HfMg2CoCu
1.0
4.521 0.000 0.000
0.000 4.521 0.000
0.000 0.000 4.590
Hf Mg Co Cu
1 2 1 1
Cartesian
0.000 0.000 0.000
0.000 2.260 2.295
2.260 0.000 2.295
2.260 2.260 0.000
2.260 2.260 2.295
```

symmetry: P4/mmm, No. 123
crystal system: tetragonal
VASP energy: -4.260 eV/atom
energy relative to the elements: 0.61 eV/atom
spin magnetization: 0.260 μB per atom


Material: Hf2CoCuMo
Method: DFT, PBE
State: optimized geometry

```
Hf2CoCuMo
1.0
4.788 0.000 0.000
0.000 4.788 0.000
0.000 0.000 4.113
Hf Co Cu Mo
2 1 1 1
Cartesian
0.000 2.394 0.000
2.394 0.000 0.000
0.000 0.000 2.057
0.000 0.000 0.000
2.394 2.394 2.057
```

symmetry: P4/mmm, No. 123
crystal system: tetragonal
VASP energy: -7.481 eV/atom
energy relative to the elements: 0.91 eV/atom
spin magnetization: 0.113 μB per atom


Material: HfNbCoCu
Method: DFT, PBE
State: optimized geometry

```
HfNbCoCu
1.0
0.000 3.153 3.153
3.153 0.000 3.153
3.153 3.153 0.000
Hf Nb Co Cu
1 1 1 1
Cartesian
0.000 0.000 0.000
3.153 3.153 3.153
1.577 1.577 1.577
4.730 4.730 4.730
```

symmetry: F-43m, No. 216
crystal system: cubic
VASP energy: -7.877 eV/atom
energy relative to the elements: -0.07 eV/atom
spin magnetization: 0.343 μB per atom


Material: HfCoCuPd
Method: DFT, PBE
State: optimized geometry

```
HfCoCuPd
1.0
0.000 3.081 3.081
3.081 0.000 3.081
3.081 3.081 0.000
Hf Co Cu Pd
1 1 1 1
Cartesian
0.000 0.000 0.000
1.540 1.540 1.540
3.081 3.081 3.081
4.621 4.621 4.621
```

symmetry: F-43m, No. 216
crystal system: cubic
VASP energy: -6.907 eV/atom
energy relative to the elements: -0.32 eV/atom
spin magnetization: 0.000 μB per atom


Material: PuHfCoCu
Method: DFT, PBE
State: optimized geometry

```
PuHfCoCu
1.0
0.000 3.290 3.290
3.290 0.000 3.290
3.290 3.290 0.000
Pu Hf Co Cu
1 1 1 1
Cartesian
0.000 0.000 0.000
3.290 3.290 3.290
1.645 1.645 1.645
4.935 4.935 4.935
```

symmetry: F-43m, No. 216
crystal system: cubic
VASP energy: -8.862 eV/atom
energy relative to the elements: 0.01 eV/atom
spin magnetization: 1.217 μB per atom


Material: HfCoCuRh
Method: DFT, PBE
State: optimized geometry

```
HfCoCuRh
1.0
0.000 3.060 3.060
3.060 0.000 3.060
3.060 3.060 0.000
Hf Co Cu Rh
1 1 1 1
Cartesian
0.000 0.000 0.000
1.530 1.530 1.530
3.060 3.060 3.060
4.590 4.590 4.590
```

symmetry: F-43m, No. 216
ΔE to the lowest computed polymorph: 97 meV per atom
crystal system: cubic
VASP energy: -7.474 eV/atom
energy relative to the elements: -0.35 eV/atom
spin magnetization: 0.100 μB per atom


Material: HfCoCuRh
Method: DFT, PBE
State: optimized geometry

```
HfCoCuRh
1.0
3.653 0.000 0.000
0.000 3.920 0.000
0.000 0.000 3.942
Hf Co Cu Rh
1 1 1 1
Cartesian
0.000 0.000 0.000
1.827 1.960 0.000
0.000 1.960 1.971
1.827 0.000 1.971
```

symmetry: Pmmm, No. 47
ΔE to the lowest computed polymorph: 0 meV per atom
crystal system: orthorhombic
VASP energy: -7.572 eV/atom
energy relative to the elements: -0.44 eV/atom
spin magnetization: 0.171 μB per atom